# 1
Here is an optimized crystal structure of Rb2PmNdS4 from Alexandria. Energies are from GGA-PBE. Values from VASP.

DOS(E_F) (states/eV per cell): 0.0
E_form (uncorrected) (meV per atom): -1829.3
Energy (eV per cell): -42.6
ρ (Mg/m³): 4.12
Space-group type: P2/m, No. 10
Size of the total moment (μB per formula unit): 0.00

Geometry as Quantum ESPRESSO input:
```
&SYSTEM
  ibrav = 0, nat = 8, ntyp = 4
/
ATOMIC_SPECIES
Rb 85.47 Rb.upf
Pm 145.00 Pm.upf
Nd 144.24 Nd.upf
S 32.06 S.upf
ATOMIC_POSITIONS crystal
Rb 0.000 0.000 0.000
Rb 0.500 0.500 0.000
Pm 0.000 0.500 0.500
Nd 0.500 0.000 0.500
S 0.230 0.000 0.696
S 0.266 0.500 0.303
S 0.734 0.500 0.697
S 0.770 0.000 0.304
CELL_PARAMETERS angstrom
7.292 0.000 0.000
0.000 4.209 0.000
-2.428 0.000 7.719
```

---

# 2
Here is an optimized crystal structure of RbPm4NdSe8 from Alexandria. Energies are from GGA-PBE. Values from VASP.

DOS(E_F) (states/eV per cell): 0.0
E_form (uncorrected) (meV per atom): -1734.1
Energy (eV per cell): -76.9
ρ (Mg/m³): 4.88
Space-group type: R3m, No. 160
Size of the total moment (μB per formula unit): 0.00

Geometry as Quantum ESPRESSO input:
```
&SYSTEM
  ibrav = 0, nat = 14, ntyp = 4
/
ATOMIC_SPECIES
Rb 85.47 Rb.upf
Pm 145.00 Pm.upf
Nd 144.24 Nd.upf
Se 78.96 Se.upf
ATOMIC_POSITIONS crystal
Rb 0.000 0.000 0.000
Pm 0.369 0.369 0.886
Pm 0.369 0.886 0.369
Pm 0.748 0.748 0.748
Pm 0.886 0.369 0.369
Nd 0.369 0.369 0.369
Se 0.139 0.139 0.573
Se 0.139 0.573 0.139
Se 0.141 0.141 0.141
Se 0.145 0.617 0.617
Se 0.573 0.139 0.139
Se 0.616 0.616 0.616
Se 0.617 0.145 0.617
Se 0.617 0.617 0.145
CELL_PARAMETERS angstrom
4.417 2.550 7.256
-4.417 2.550 7.256
0.000 -5.101 7.256
```

---

# 3
Here is an optimized crystal structure of RbPmNd4Se8 from Alexandria. Energies are from GGA-PBE. Values from VASP.

DOS(E_F) (states/eV per cell): 0.0
E_form (uncorrected) (meV per atom): -1733.6
Energy (eV per cell): -76.9
ρ (Mg/m³): 4.82
Space-group type: R3m, No. 160
Size of the total moment (μB per formula unit): 0.00

Geometry as Quantum ESPRESSO input:
```
&SYSTEM
  ibrav = 0, nat = 14, ntyp = 4
/
ATOMIC_SPECIES
Rb 85.47 Rb.upf
Pm 145.00 Pm.upf
Nd 144.24 Nd.upf
Se 78.96 Se.upf
ATOMIC_POSITIONS crystal
Rb 0.000 0.000 0.000
Pm 0.629 0.629 0.629
Nd 0.111 0.629 0.629
Nd 0.249 0.249 0.249
Nd 0.629 0.111 0.629
Nd 0.629 0.629 0.111
Se 0.382 0.382 0.382
Se 0.382 0.382 0.852
Se 0.382 0.852 0.382
Se 0.426 0.856 0.856
Se 0.852 0.382 0.382
Se 0.856 0.426 0.856
Se 0.856 0.856 0.426
Se 0.857 0.857 0.857
CELL_PARAMETERS angstrom
4.449 2.568 7.235
-4.449 2.568 7.235
0.000 -5.137 7.235
```

---

# 4
Here is an optimized crystal structure of RbPm2Nd3Te6 from Alexandria. Energies are from GGA-PBE. Values from VASP.

DOS(E_F) (states/eV per cell): 5.1
E_form (uncorrected) (meV per atom): -1369.7
Energy (eV per cell): -60.1
ρ (Mg/m³): 6.45
Space-group type: C2/m, No. 12
Size of the total moment (μB per formula unit): 0.00

Geometry as Quantum ESPRESSO input:
```
&SYSTEM
  ibrav = 0, nat = 12, ntyp = 4
/
ATOMIC_SPECIES
Rb 85.47 Rb.upf
Pm 145.00 Pm.upf
Nd 144.24 Nd.upf
Te 127.60 Te.upf
ATOMIC_POSITIONS crystal
Rb 0.000 0.000 0.000
Pm 0.330 0.330 0.655
Pm 0.670 0.670 0.345
Nd 0.000 0.000 0.500
Nd 0.339 0.339 0.181
Nd 0.661 0.661 0.819
Te 0.166 0.166 0.582
Te 0.175 0.175 0.088
Te 0.495 0.495 0.732
Te 0.505 0.505 0.268
Te 0.825 0.825 0.912
Te 0.834 0.834 0.418
CELL_PARAMETERS angstrom
9.960 -2.253 0.000
9.960 2.253 0.000
-2.186 0.000 9.031
```